A plane-wave DFT calculation with meta-GGA SCAN was carried out for a crystal of BaZrNb2 relaxed with PBEsol.

Calculated values
Its formation energy is 1.044 eV per atom. The value obtained for the density of states at the Fermi level is 5.6 states/eV/f.u. The calculation puts the total energy at -33.083 eV per atom. The spin magnetization is 0.00 μB/atom.

a b c (Å): 5.0054 5.0054 5.0054
angles (deg): 60.00 60.00 60.00
With the nearest neighbours (Å) after each atom.
Positions (direct):
1 Zr 0.0000 0.0000 0.0000  8 Nb 3.07
2 Ba 0.5000 0.5000 0.5000  8 Nb 3.07
3 Nb 0.7500 0.7500 0.7500  4 Zr 3.07, 4 Ba 3.07
4 Nb 0.2500 0.2500 0.2500  4 Ba 3.07, 4 Zr 3.07